Record 1
Cd2InPd2 | PBE-GGA | optimized geometry

Values from the calculation:
For the energy above the most stable polymorph in this dataset, the calculation gives 0 meV per atom. The magnetization comes out at 0.00 μB per cell. For the calculated formation energy, the calculation gives -1.74 eV/f.u. For the density of states at the Fermi level, the calculation gives 1.80 states/eV/f.u.

Unit cell a=7.1551 b=7.1551 c=3.8221 alpha=90.00 beta=90.00 gamma=90.00
Last column: nearest neighbours and their distance in Å.
Sites, in units of the cell vectors:
Cd 0.1525 0.6525 0.5000  6 Pd 2.80-2.86, 1 Cd 3.09
Cd 0.6525 0.8475 0.5000  6 Pd 2.80-2.86, 1 Cd 3.09
Cd 0.8475 0.3475 0.5000  6 Pd 2.80-2.86, 1 Cd 3.09
Cd 0.3475 0.1525 0.5000  6 Pd 2.80-2.86, 1 Cd 3.09
Pd 0.3546 0.8546 0.0000  2 In 2.74, 6 Cd 2.80-2.86, 1 Pd 2.94
Pd 0.8546 0.6454 0.0000  2 In 2.74, 6 Cd 2.80-2.86, 1 Pd 2.94
Pd 0.6454 0.1454 0.0000  2 In 2.74, 6 Cd 2.80-2.86, 1 Pd 2.94
Pd 0.1454 0.3546 0.0000  2 In 2.74, 6 Cd 2.80-2.86, 1 Pd 2.94
In 0.0000 0.0000 0.0000  4 Pd 2.74
In 0.5000 0.5000 0.0000  4 Pd 2.74

=====

Record 2
Ca2Sb2Br | PBE-GGA | optimized geometry

Values from the calculation:
For the energy above the most stable polymorph in this dataset, the calculation gives 0 meV per atom. The magnetization comes out at 0.00 μB per cell. For the density of states at the Fermi level, the calculation gives 3.57 states/eV/f.u.

Unit cell a=8.0853 b=8.0853 c=4.7099 alpha=90.00 beta=90.00 gamma=90.00
Last column: nearest neighbours and their distance in Å.
Sites, in units of the cell vectors:
Sb 0.1226 0.6226 0.5000  1 Sb 2.80
Sb 0.6226 0.8774 0.5000  1 Sb 2.80
Sb 0.8774 0.3774 0.5000  1 Sb 2.80
Sb 0.3774 0.1226 0.5000  1 Sb 2.80
Ca 0.3257 0.8257 0.0000  2 Br 2.99, 2 Sb 3.31
Ca 0.8257 0.6743 0.0000  2 Br 2.99, 2 Sb 3.31
Ca 0.6743 0.1743 0.0000  2 Br 2.99, 2 Sb 3.31
Ca 0.1743 0.3257 0.0000  2 Br 2.99, 2 Sb 3.31
Br 0.0000 0.0000 0.0000  4 Ca 2.99
Br 0.5000 0.5000 0.0000  4 Ca 2.99

=====

Record 3
CsRbPtO2 | PBE-GGA | optimized geometry

Values from the calculation:
As for the total energy: -4.40 eV per atom. The magnetization comes out at 0.00 μB per cell. For the density of states at the Fermi level, the calculation gives 0.04 states/eV/f.u.

Unit cell a=5.9314 b=6.3448 c=6.8877 alpha=90.00 beta=90.00 gamma=90.00
Last column: nearest neighbours and their distance in Å.
Sites, in units of the cell vectors:
Cs 0.2043 0.2500 0.5000  2 O 2.73
Cs 0.7957 0.7500 0.5000  2 O 2.73
Rb 0.4833 0.7500 0.0000  2 O 2.73
Rb 0.5167 0.2500 0.0000  2 O 2.73
Pt 0.0000 0.0000 0.0000  4 O 2.09
Pt 0.0000 0.5000 0.0000  4 O 2.09
O 0.9225 0.2500 0.8134  2 Pt 2.09
O 0.9225 0.2500 0.1866  2 Pt 2.09
O 0.0775 0.7500 0.8134  2 Pt 2.09
O 0.0775 0.7500 0.1866  2 Pt 2.09